A plane-wave DFT calculation with PBE was carried out for a relaxed BC7 crystal.

Calculated values
As for the formation energy: 0.2321 eV/atom. Its mass density is 3.32 g/cm³.

Cell: 8.649 8.649 8.649 Å, 16.87 16.87 16.87°
Sites, in units of the cell vectors:
1 B 0.000 0.000 0.000
2 C 0.108 0.108 0.108
3 C 0.168 0.168 0.168
4 C 0.522 0.522 0.522
5 C 0.582 0.582 0.582
6 C 0.695 0.695 0.695
7 C 0.754 0.754 0.754
8 C 0.937 0.937 0.937

=====

A plane-wave DFT calculation with PBE was carried out for a relaxed NiB3Pt crystal.

Calculated values
As for the formation energy: 1.0499 eV/atom. Its mass density is 8.82 g/cm³.

Cell: 3.777 3.777 3.777 Å, 90.00 90.00 90.00°
Sites, in units of the cell vectors:
1 Ni 0.000 0.000 0.000
2 B 0.000 0.000 0.500
3 B 0.000 0.500 0.000
4 B 0.500 0.000 0.000
5 Pt 0.500 0.500 0.500

=====

A plane-wave DFT calculation with PBE was carried out for a relaxed Nd2DySb3 crystal.

Calculated values
As for the uncorrected formation energy: -112.4 kJ per mole of atoms. Its mass density is 7.11 g/cm³.

Cell: 7.759 7.759 7.755 Å, 99.60 99.60 120.00°
Sites, in units of the cell vectors:
1 Nd 0.000 0.000 0.000
2 Nd 0.165 0.835 0.500
3 Nd 0.500 0.500 0.500
4 Nd 0.835 0.165 0.500
5 Dy 0.333 0.667 0.000
6 Dy 0.667 0.333 0.000
7 Sb 0.082 0.420 0.245
8 Sb 0.258 0.258 0.757
9 Sb 0.420 0.082 0.245
10 Sb 0.580 0.918 0.755
11 Sb 0.742 0.742 0.243
12 Sb 0.918 0.580 0.755

=====

A plane-wave DFT calculation with PBE was carried out for a relaxed Ca2CrCo crystal.

Calculated values
As for the formation energy: 0.7707 eV/atom. Its mass density is 3.14 g/cm³.

Cell: 3.563 3.563 27.550 Å, 90.00 90.00 120.00°
Sites, in units of the cell vectors:
1 Ca 0.000 0.000 0.237
2 Ca 0.000 0.000 0.763
3 Ca 0.333 0.667 0.430
4 Ca 0.333 0.667 0.903
5 Ca 0.667 0.333 0.097
6 Ca 0.667 0.333 0.570
7 Cr 0.000 0.000 0.000
8 Cr 0.333 0.667 0.667
9 Cr 0.667 0.333 0.333
10 Co 0.000 0.000 0.500
11 Co 0.333 0.667 0.167
12 Co 0.667 0.333 0.833

=====

A plane-wave DFT calculation with PBE was carried out for a relaxed Pm2NdY4Er2 crystal.

Calculated values
As for the formation energy: 0.0050 eV/atom. Its mass density is 6.34 g/cm³.

Cell: 9.553 9.553 9.618 Å, 115.18 115.18 21.86°
Sites, in units of the cell vectors:
1 Pm 0.148 0.148 0.168
2 Pm 0.852 0.852 0.832
3 Nd 0.000 0.000 0.500
4 Y 0.185 0.185 0.833
5 Y 0.481 0.481 0.167
6 Y 0.519 0.519 0.833
7 Y 0.815 0.815 0.167
8 Er 0.332 0.332 0.498
9 Er 0.668 0.668 0.502

=====

A plane-wave DFT calculation with PBE was carried out for a relaxed Sm3TlFe3 crystal.

Calculated values
As for the formation energy: -0.0508 eV/atom. Its mass density is 8.23 g/cm³.

Cell: 9.859 9.859 3.947 Å, 90.00 90.00 120.00°
Sites, in units of the cell vectors:
1 Sm 0.068 0.684 0.250
2 Sm 0.316 0.384 0.250
3 Sm 0.384 0.068 0.750
4 Sm 0.616 0.932 0.250
5 Sm 0.684 0.616 0.750
6 Sm 0.932 0.316 0.750
7 Tl 0.333 0.667 0.750
8 Tl 0.667 0.333 0.250
9 Fe 0.019 0.868 0.750
10 Fe 0.132 0.150 0.750
11 Fe 0.150 0.019 0.250
12 Fe 0.850 0.981 0.750
13 Fe 0.868 0.850 0.250
14 Fe 0.981 0.132 0.250

=====

A plane-wave DFT calculation with PBE was carried out for a relaxed CrFeI crystal.

Calculated values
As for the uncorrected formation energy: 20.9 kJ per mole of atoms. Its mass density is 6.04 g/cm³.

Cell: 6.883 3.971 9.436 Å, 90.00 90.11 90.00°
Sites, in units of the cell vectors:
1 Cr 0.000 0.000 0.000
2 Cr 0.167 0.500 0.096
3 Cr 0.500 0.500 0.000
4 Cr 0.667 0.000 0.096
5 Fe 0.001 0.000 0.254
6 Fe 0.334 0.000 0.164
7 Fe 0.501 0.500 0.254
8 Fe 0.834 0.500 0.164
9 I 0.166 0.500 0.821
10 I 0.335 0.000 0.438
11 I 0.666 0.000 0.821
12 I 0.835 0.500 0.438

=====

A plane-wave DFT calculation with PBE was carried out for a relaxed NbPIrO2 crystal.

Calculated values
As for the uncorrected formation energy: -2.5 kJ per mole of atoms. Its mass density is 7.46 g/cm³.

Cell: 3.750 3.750 5.507 Å, 90.00 90.00 90.00°
Sites, in units of the cell vectors:
1 Nb 0.000 0.000 0.000
2 P 0.500 0.500 0.000
3 Ir 0.500 0.500 0.500
4 O 0.000 0.500 0.500
5 O 0.500 0.000 0.500

=====

A plane-wave DFT calculation with PBE was carried out for a relaxed Tb2HfAu6 crystal.

Calculated values
As for the formation energy: -0.6392 eV/atom. Its mass density is 14.70 g/cm³.

Cell: 8.736 8.736 5.181 Å, 98.63 98.63 77.65°
Sites, in units of the cell vectors:
1 Tb 0.043 0.287 0.080
2 Tb 0.287 0.043 0.580
3 Tb 0.713 0.957 0.420
4 Tb 0.957 0.713 0.920
5 Hf 0.380 0.620 0.750
6 Hf 0.620 0.380 0.250
7 Au 0.085 0.795 0.480
8 Au 0.156 0.413 0.642
9 Au 0.205 0.915 0.020
10 Au 0.278 0.509 0.191
11 Au 0.413 0.156 0.142
12 Au 0.491 0.722 0.309
13 Au 0.509 0.278 0.691
14 Au 0.587 0.844 0.858
15 Au 0.722 0.491 0.809
16 Au 0.795 0.085 0.980
17 Au 0.844 0.587 0.358
18 Au 0.915 0.205 0.520

=====

A plane-wave DFT calculation with PBE was carried out for a relaxed YHoTcAg crystal.

Calculated values
As for the formation energy: -0.1224 eV/atom. Its mass density is 8.81 g/cm³.

Cell: 7.024 7.024 7.024 Å, 90.00 90.00 90.00°
Sites, in units of the cell vectors:
1 Y 0.000 0.000 0.000
2 Y 0.000 0.500 0.500
3 Y 0.500 0.000 0.500
4 Y 0.500 0.500 0.000
5 Ho 0.000 0.000 0.500
6 Ho 0.000 0.500 0.000
7 Ho 0.500 0.000 0.000
8 Ho 0.500 0.500 0.500
9 Tc 0.250 0.250 0.750
10 Tc 0.250 0.750 0.250
11 Tc 0.750 0.250 0.250
12 Tc 0.750 0.750 0.750
13 Ag 0.250 0.250 0.250
14 Ag 0.250 0.750 0.750
15 Ag 0.750 0.250 0.750
16 Ag 0.750 0.750 0.250

=====

A plane-wave DFT calculation with PBE was carried out for a relaxed PmInGa2Pd5 crystal.

Calculated values
As for the formation energy: -0.5596 eV/atom. Its mass density is 9.31 g/cm³.

Cell: 4.225 4.225 9.303 Å, 90.00 90.00 90.00°
Sites, in units of the cell vectors:
1 Pm 0.000 0.000 0.000
2 In 0.000 0.000 0.500
3 Ga 0.500 0.500 0.368
4 Ga 0.500 0.500 0.632
5 Pd 0.000 0.500 0.226
6 Pd 0.000 0.500 0.774
7 Pd 0.500 0.000 0.226
8 Pd 0.500 0.000 0.774
9 Pd 0.500 0.500 0.000

=====

A plane-wave DFT calculation with PBE was carried out for a relaxed Ce5P3N crystal.

Calculated values
As for the uncorrected formation energy: -112.9 kJ per mole of atoms. Its mass density is 6.67 g/cm³.

Cell: 8.681 8.681 8.681 Å, 127.23 127.23 77.88°
Sites, in units of the cell vectors:
1 Ce 0.000 0.000 0.000
2 Ce 0.018 0.518 0.822
3 Ce 0.196 0.018 0.500
4 Ce 0.304 0.804 0.822
5 Ce 0.482 0.304 0.500
6 Ce 0.500 0.500 0.000
7 Ce 0.518 0.696 0.500
8 Ce 0.696 0.196 0.178
9 Ce 0.804 0.982 0.500
10 Ce 0.982 0.482 0.178
11 P 0.142 0.358 0.500
12 P 0.250 0.250 0.000
13 P 0.358 0.858 0.216
14 P 0.642 0.142 0.784
15 P 0.750 0.750 0.000
16 P 0.858 0.642 0.500
17 N 0.250 0.750 0.500
18 N 0.750 0.250 0.500

=====

A plane-wave DFT calculation with PBE was carried out for a relaxed NaGaSe2N crystal.

Calculated values
As for the uncorrected formation energy: 26.2 kJ per mole of atoms. Its mass density is 4.09 g/cm³.

Cell: 5.439 5.439 3.632 Å, 90.00 90.00 90.00°
Sites, in units of the cell vectors:
1 Na 0.000 0.000 0.000
2 Ga 0.500 0.500 0.500
3 Se 0.000 0.500 0.500
4 Se 0.500 0.000 0.500
5 N 0.500 0.500 0.000

=====

A plane-wave DFT calculation with PBE was carried out for a relaxed Ca2NdSiN crystal.

Calculated values
As for the uncorrected formation energy: -77.1 kJ per mole of atoms. Its mass density is 3.93 g/cm³.

Cell: 4.752 4.752 4.988 Å, 90.00 90.00 90.00°
Sites, in units of the cell vectors:
1 Ca 0.000 0.500 0.000
2 Ca 0.500 0.000 0.000
3 Nd 0.000 0.000 0.500
4 Si 0.500 0.500 0.500
5 N 0.000 0.000 0.000

=====

A plane-wave DFT calculation with PBE was carried out for a relaxed Be2TeP crystal.

Calculated values
As for the uncorrected formation energy: 61.9 kJ per mole of atoms. Its mass density is 4.48 g/cm³.

Cell: 3.476 3.478 5.416 Å, 90.00 90.00 90.00°
Sites, in units of the cell vectors:
1 Be 0.000 0.000 0.000
2 Be 0.000 0.500 0.500
3 Te 0.500 0.000 0.500
4 P 0.500 0.500 0.000

=====

A plane-wave DFT calculation with PBE was carried out for a relaxed Ho8MgSb6 crystal.

Calculated values
As for the uncorrected formation energy: -73.1 kJ per mole of atoms. Its mass density is 7.81 g/cm³.

Cell: 8.142 8.142 8.142 Å, 67.31 67.31 67.31°
Sites, in units of the cell vectors:
1 Ho 0.124 0.402 0.691
2 Ho 0.168 0.168 0.168
3 Ho 0.309 0.876 0.598
4 Ho 0.402 0.691 0.124
5 Ho 0.598 0.309 0.876
6 Ho 0.691 0.124 0.402
7 Ho 0.832 0.832 0.832
8 Ho 0.876 0.598 0.309
9 Mg 0.500 0.500 0.500
10 Sb 0.051 0.795 0.426
11 Sb 0.205 0.574 0.949
12 Sb 0.426 0.051 0.795
13 Sb 0.574 0.949 0.205
14 Sb 0.795 0.426 0.051
15 Sb 0.949 0.205 0.574

=====

A plane-wave DFT calculation with PBE was carried out for a relaxed Tm2Hg4Pb crystal.

Calculated values
As for the formation energy: -0.0567 eV/atom. Its mass density is 11.35 g/cm³.

Cell: 5.732 5.732 11.993 Å, 90.00 90.00 90.00°
Sites, in units of the cell vectors:
1 Tm 0.000 0.000 0.145
2 Tm 0.000 0.000 0.855
3 Tm 0.500 0.500 0.355
4 Tm 0.500 0.500 0.645
5 Hg 0.000 0.500 0.000
6 Hg 0.000 0.500 0.250
7 Hg 0.000 0.500 0.500
8 Hg 0.000 0.500 0.750
9 Hg 0.500 0.000 0.000
10 Hg 0.500 0.000 0.250
11 Hg 0.500 0.000 0.500
12 Hg 0.500 0.000 0.750
13 Pb 0.000 0.000 0.500
14 Pb 0.500 0.500 0.000

=====

A plane-wave DFT calculation with PBE was carried out for a relaxed SrLiMn crystal.

Calculated values
As for the formation energy: 0.7064 eV/atom. Its mass density is 2.55 g/cm³.

Cell: 7.304 7.304 7.304 Å, 90.00 90.00 90.00°
Sites, in units of the cell vectors:
1 Sr 0.000 0.000 0.000
2 Sr 0.000 0.500 0.500
3 Sr 0.500 0.000 0.500
4 Sr 0.500 0.500 0.000
5 Li 0.000 0.000 0.500
6 Li 0.000 0.500 0.000
7 Li 0.500 0.000 0.000
8 Li 0.500 0.500 0.500
9 Mn 0.250 0.250 0.250
10 Mn 0.250 0.750 0.750
11 Mn 0.750 0.250 0.750
12 Mn 0.750 0.750 0.250

=====

A plane-wave DFT calculation with PBE was carried out for a relaxed BaMg2Al2Ag crystal.

Calculated values
As for the formation energy: 0.0053 eV/atom. Its mass density is 3.47 g/cm³.

Cell: 5.037 5.037 6.565 Å, 90.00 90.00 90.00°
Sites, in units of the cell vectors:
1 Ba 0.000 0.000 0.000
2 Mg 0.500 0.500 0.241
3 Mg 0.500 0.500 0.759
4 Al 0.000 0.500 0.500
5 Al 0.500 0.000 0.500
6 Ag 0.000 0.000 0.500

=====

A plane-wave DFT calculation with PBE was carried out for a relaxed Tb2SmTm5Th crystal.

Calculated values
As for the formation energy: 0.3085 eV/atom. Its mass density is 9.07 g/cm³.

Cell: 9.677 9.677 9.677 Å, 126.53 126.53 79.02°
Sites, in units of the cell vectors:
1 Tb 0.115 0.615 0.729
2 Tb 0.385 0.115 0.500
3 Tb 0.615 0.885 0.500
4 Tb 0.885 0.385 0.271
5 Sm 0.250 0.750 0.500
6 Sm 0.750 0.250 0.500
7 Tm 0.000 0.000 0.000
8 Tm 0.073 0.154 0.500
9 Tm 0.154 0.654 0.081
10 Tm 0.346 0.427 0.500
11 Tm 0.427 0.927 0.081
12 Tm 0.500 0.500 0.000
13 Tm 0.573 0.073 0.919
14 Tm 0.654 0.573 0.500
15 Tm 0.846 0.346 0.919
16 Tm 0.927 0.846 0.500
17 Th 0.250 0.250 0.000
18 Th 0.750 0.750 0.000

=====

A plane-wave DFT calculation with PBE was carried out for a relaxed EuTmSb2 crystal.

Calculated values
As for the uncorrected formation energy: -94.1 kJ per mole of atoms. Its mass density is 7.46 g/cm³.

Cell: 4.432 4.432 22.155 Å, 90.00 90.00 120.00°
Sites, in units of the cell vectors:
1 Eu 0.000 0.000 0.000
2 Eu 0.333 0.667 0.667
3 Eu 0.667 0.333 0.333
4 Tm 0.000 0.000 0.500
5 Tm 0.333 0.667 0.167
6 Tm 0.667 0.333 0.833
7 Sb 0.000 0.000 0.244
8 Sb 0.000 0.000 0.756
9 Sb 0.333 0.667 0.422
10 Sb 0.333 0.667 0.911
11 Sb 0.667 0.333 0.089
12 Sb 0.667 0.333 0.578

=====

A plane-wave DFT calculation with PBE was carried out for a relaxed AgW2Br crystal.

Calculated values
As for the uncorrected formation energy: 131.3 kJ per mole of atoms. Its mass density is 13.02 g/cm³.

Cell: 5.476 9.083 2.850 Å, 90.00 90.00 90.00°
Sites, in units of the cell vectors:
1 Ag 0.000 0.000 0.000
2 Ag 0.500 0.500 0.000
3 W 0.250 0.250 0.500
4 W 0.250 0.750 0.500
5 W 0.750 0.250 0.500
6 W 0.750 0.750 0.500
7 Br 0.000 0.500 0.000
8 Br 0.500 0.000 0.000